Material: MnNi2OsO6
Method: DFT, PBE+U
State: optimized geometry

```
data_MnNi2OsO6
_chemical_formula_sum 'Mn1 Ni2 Os1 O6'
_space_group_name_H-M_alt 'P 4 m m'
_space_group_IT_number 99
_cell_length_a 5.377
_cell_length_b 5.377
_cell_length_c 4.753
_cell_angle_alpha 90.00
_cell_angle_beta 90.00
_cell_angle_gamma 90.00
loop_
_space_group_symop_operation_xyz
'x,y,z'
'-y,x,z'
'-x,-y,z'
'y,-x,z'
'-x,y,z'
'y,x,z'
'x,-y,z'
'-y,-x,z'
loop_
_atom_site_label
_atom_site_fract_x
_atom_site_fract_y
_atom_site_fract_z
Mn1 0.000 0.000 0.000
Ni1 0.000 0.500 0.341
Os1 0.500 0.500 0.019
O1 0.000 0.000 0.597
O2 0.268 0.268 0.181
O3 0.500 0.500 0.660
```

## Properties
* E_tot: -60.85 eV for the cell shown
* calculated volume: 13.74 A^3/atom